Run P
Compound: Pa2VBi
Source: the Alexandria database
Functional: GGA-PBE
Structure: relaxed

abc: 5.9069 5.9069 5.9069
angles: 47.26 47.26 47.26
With the nearest neighbours (Å) after each atom.
Fractional coordinates of all 4 atoms:
Pa 0.2309 0.2309 0.2309  3 V 2.91, 3 Bi 3.17
Pa 0.7691 0.7691 0.7691  3 V 2.91, 3 Bi 3.17
V 0.5000 0.5000 0.5000  6 Pa 2.91
Bi 0.0000 0.0000 0.0000  6 Pa 3.17

Output
Crystal system = trigonal
Size of the total moment = 1.1 Bohr magnetons per cell

Run Q
Compound: Pa2VBi
Source: the Alexandria database
Functional: GGA-PBE
Structure: relaxed

abc: 4.3849 4.3849 4.7810
angles: 90.00 90.00 90.00
With the nearest neighbours (Å) after each atom.
Fractional coordinates of all 4 atoms:
Pa 0.0000 0.5000 0.0000  4 Pa 3.10, 4 Bi 3.24, 4 V 3.24
Pa 0.5000 0.0000 0.0000  4 Pa 3.10, 4 Bi 3.24, 4 V 3.24
V 0.0000 0.0000 0.5000  4 Bi 3.10, 8 Pa 3.24
Bi 0.5000 0.5000 0.5000  4 V 3.10, 8 Pa 3.24

Output
Crystal system = tetragonal
Size of the total moment = 1.6 Bohr magnetons per cell

Question: of the structures shown, which is the least stable? Reply: run P.